Ac2UBRh6 | PBE | relaxed

Summary:
- DFT total energy (eV/atom) = -7.62
- total magnetization (μB/f.u.) = 0.0
- calculated formation energy (eV per atom) = -0.5955

Cell: 6.121 6.982 6.126 Å, 63.96 60.03 90.00°
Fractional coordinates of all 10 atoms:
1 Ac 0.231 0.694 0.537
2 Ac 0.769 0.306 0.463
3 Rh 0.236 0.185 0.051
4 Rh 0.235 0.184 0.529
5 Rh 0.764 0.815 0.949
6 Rh 0.713 0.184 0.051
7 Rh 0.287 0.816 0.949
8 Rh 0.765 0.816 0.471
9 U 0.500 0.500 0.000
10 B 0.000 0.000 0.000